No. 1
16
Lattice="4.989 0.000 0.000 0.000 4.989 0.000 0.000 0.000 19.834" Properties=species:S:1:pos:R:3 comment="Er12TmTh3 (GGA-PBE, optimized geometry)" magmom_total_mub_per_cell=0.00 sg="No. 123" pbc="T T T"
Er 2.494 2.494 0.000
Er 2.494 2.494 4.947
Er 2.494 2.494 9.917
Er 2.494 2.494 14.887
Er 2.494 0.000 2.485
Er 2.494 0.000 7.437
Er 2.494 0.000 12.396
Er 2.494 0.000 17.348
Er 0.000 2.494 2.485
Er 0.000 2.494 7.437
Er 0.000 2.494 12.396
Er 0.000 2.494 17.348
Tm 0.000 0.000 0.000
Th 0.000 0.000 4.971
Th 0.000 0.000 9.917
Th 0.000 0.000 14.862

=====

No. 2
11
Lattice="-0.683 -5.322 -6.920 2.504 -5.897 7.728 -3.989 2.219 2.986" Properties=species:S:1:pos:R:3 comment="ErTm7Th3 (GGA-PBE, optimized geometry)" de_polymorph_mev_per_atom=0.0 magmom_total_mub_per_cell=0.00 sg="No. 10" pbc="T T T"
Er -1.084 -4.500 1.897
Tm -2.194 -7.728 2.813
Tm -0.201 -7.393 0.245
Tm -0.330 -4.868 -1.801
Tm -1.838 -4.131 5.596
Tm -2.336 -1.551 -1.967
Tm -1.967 -1.607 3.550
Tm 0.026 -1.272 0.981
Th -0.529 -5.467 8.342
Th 1.252 -2.948 3.864
Th -1.639 -3.532 -4.547

=====

No. 3
11
Lattice="6.425 0.000 0.000 0.000 6.425 0.000 -3.212 -3.212 8.832" Properties=species:S:1:pos:R:3 comment="Er4TmTh6 (GGA-PBE, optimized geometry)" magmom_total_mub_per_cell=0.00 sg="No. 121" pbc="T T T"
Er -2.037 2.037 6.613
Er 5.250 5.250 2.219
Er 2.037 -2.037 6.613
Er 1.175 1.175 2.219
Tm 3.212 3.212 0.000
Th 4.415 2.010 3.289
Th 2.010 4.415 3.289
Th 1.203 1.203 5.543
Th 0.000 3.212 0.000
Th -1.203 -1.203 5.543
Th 3.212 0.000 0.000

=====

No. 4
14
Lattice="-6.462 -0.323 2.203 -4.955 -5.680 -4.766 -1.269 -6.546 5.922" Properties=species:S:1:pos:R:3 comment="Er2TmTh4 (GGA-PBE, optimized geometry)" de_polymorph_mev_per_atom=66.8 magmom_total_mub_per_cell=0.00 sg="No. 74" pbc="T T T"
Er -7.211 -8.710 -1.226
Er -3.231 -0.162 1.101
Er -6.343 -6.275 1.679
Er -5.474 -3.840 4.584
Tm -2.477 -2.840 -2.383
Tm -5.708 -3.002 -1.281
Th -3.150 -4.365 0.722
Th -6.255 -10.480 1.320
Th -3.621 -6.282 3.747
Th -7.226 -6.462 4.976
Th -5.459 -6.088 -1.617
Th -6.430 -2.070 2.039
Th -9.064 -6.268 -0.388
Th -9.535 -8.185 2.637

=====

No. 5
8
Lattice="4.995 0.000 0.000 0.000 4.984 0.000 -2.498 -2.492 10.024" Properties=species:S:1:pos:R:3 comment="Er3Tm2Th3 (GGA-PBE, optimized geometry)" de_polymorph_mev_per_atom=0.0 magmom_total_mub_per_cell=0.00 sg="No. 71" pbc="T T T"
Er 0.000 0.000 2.515
Er 0.000 2.492 0.000
Er 2.498 2.492 7.509
Tm 2.498 0.000 5.009
Tm 0.000 2.492 5.014
Th 2.498 2.492 2.500
Th 0.000 0.000 7.523
Th 2.498 0.000 0.000

=====

No. 6
20
Lattice="8.346 1.240 1.862 -1.129 8.361 1.862 -1.129 -1.502 8.433" Properties=species:S:1:pos:R:3 comment="ErTm12Th7 (GGA-PBE, optimized geometry)" magmom_total_mub_per_cell=0.00 sg="No. 148" pbc="T T T"
Er 0.000 0.000 0.000
Tm 6.054 2.133 8.192
Tm 5.722 3.008 3.087
Tm 4.480 1.142 5.602
Tm 6.236 4.709 5.735
Tm 1.298 0.410 7.033
Tm 2.789 2.481 8.945
Tm 3.298 5.618 3.212
Tm 4.789 7.689 5.124
Tm -0.149 3.391 6.422
Tm 1.608 6.957 6.555
Tm 0.366 5.092 9.070
Tm 0.033 5.966 3.965
Th 5.332 4.738 10.468
Th 3.019 0.919 2.183
Th 0.044 0.799 3.753
Th 3.044 4.050 6.078
Th 6.044 7.300 8.404
Th 3.068 7.180 9.974
Th 0.756 3.362 1.689

=====

| no. | uncorrected energy (eV per atom) | N(E_F) (states/eV per atom) |
| --- | --- | --- |
| 1 | -5.058 | 1.5839 |
| 2 | -5.126 | 1.3629 |
| 3 | -5.693 | 1.6762 |
| 4 | -5.870 | 1.5864 |
| 5 | -5.577 | 1.2873 |
| 6 | -5.239 | 1.6938 |